Density functional theory data (GGA-PBE) for a relaxed Nd2ScSn2 crystal.

Properties
Space group: Immm (71)
Energy of formation from the pure elements in eV per atom: -0.672
Uncorrected energy in eV per atom: -5.446

abc: 4.610 6.250 6.250
angles: 63.90 68.36 68.36
Fractional positions:
Nd 0.201 0.299 0.299
Nd 0.799 0.701 0.701
Sc 0.000 0.000 0.000
Sn 0.500 0.273 0.727
Sn 0.500 0.727 0.273

***

Density functional theory data (GGA-PBE) for a relaxed SrCaLa2 crystal.

Properties
Space group: Immm (71)
Energy of formation from the pure elements in eV per atom: 0.116
Uncorrected energy in eV per atom: -3.269

abc: 7.477 7.477 7.477
angles: 147.71 131.38 59.58
Fractional positions:
Sr 0.250 0.750 0.500
Ca 0.750 0.250 0.500
La 0.982 0.982 0.000
La 0.518 0.518 0.000

***

no.,energy above the lowest structure with this stoichiometry (eV/f.u.),density of states at the Fermi level (states/eV/f.u.)
1,0.171,4.73
2,0.289,5.37